Computed, not measured: a relaxed structure of ErThTc2 at the PBE level of DFT.

abc: 4.8941 4.8941 4.8941
angles: 60.00 60.00 60.00
Atoms (fractional coordinates):
Tc: 0.2500 0.2500 0.2500
Tc: 0.7500 0.7500 0.7500
Th: 0.0000 0.0000 0.0000
Er: 0.5000 0.5000 0.5000

Calculated values
SG: No. 225
ρ: 11.9 g cm⁻³
ΔE_f: -0.06 eV/atom